Record 1
Density functional theory data (PBE-GGA) for a relaxed As crystal.

Structure (POSCAR):
```
As
1.0
2.6974 -2.8545 0.0000
2.6974 2.8545 0.0000
0.0000 0.0000 2.8233
As
2
direct
0.2179 0.7821 0.0000
0.7821 0.2179 0.0000
```

Uncorrected energy (eV per atom): -4.545
Space group: Cmmm
Relative energy among the computed polymorphs (kcal/mol of atoms): 2.420

***

Record 2
Density functional theory data (PBE-GGA) for a relaxed As crystal.

Structure (POSCAR):
```
As
1.0
3.2076 -1.8582 0.0000
3.2076 1.8582 0.0000
-2.2918 0.0000 8.3512
As
4
direct
0.1107 0.1107 0.3111
0.2812 0.2812 0.8503
0.7188 0.7188 0.1497
0.8893 0.8893 0.6889
```

Uncorrected energy (eV per atom): -4.644
Space group: C2/m
Relative energy among the computed polymorphs (kcal/mol of atoms): 0.124

***

Record 3
Density functional theory data (PBE-GGA) for a relaxed As crystal.

Structure (POSCAR):
```
As
1.0
-1.8784 2.7679 2.1241
1.8784 -2.7679 2.1241
1.8784 2.7679 -2.1241
As
2
direct
0.3033 0.0533 0.2500
0.6967 0.9467 0.7500
```

Uncorrected energy (eV per atom): -4.641
Space group: Imma
Relative energy among the computed polymorphs (kcal/mol of atoms): 0.202

***

Record 4
Density functional theory data (PBE-GGA) for a relaxed As crystal.

Structure (POSCAR):
```
As
1.0
-1.6893 1.6893 1.6893
1.6893 -1.6893 1.6893
1.6893 1.6893 -1.6893
As
1
direct
0.0000 0.0000 0.0000
```

Uncorrected energy (eV per atom): -4.205
Space group: Im-3m
Relative energy among the computed polymorphs (kcal/mol of atoms): 10.255

***

Record 5
Density functional theory data (PBE-GGA) for a relaxed As crystal.

Structure (POSCAR):
```
As
1.0
-1.8378 7.0206 2.9175
1.8378 -7.0206 2.9175
1.8378 7.0206 -2.9175
As
6
direct
0.0000 0.0000 0.0000
0.1456 0.9474 0.1982
0.3379 0.5192 0.8187
0.7005 0.5192 0.1813
0.7101 0.2101 0.5000
0.7491 0.9474 0.8018
```

Uncorrected energy (eV per atom): -4.547
Space group: Imm2
Relative energy among the computed polymorphs (kcal/mol of atoms): 2.368

***

Record 6
Density functional theory data (PBE-GGA) for a relaxed As crystal.

Structure (POSCAR):
```
As
1.0
2.7280 0.0000 0.0000
0.0000 2.7280 0.0000
0.0000 0.0000 2.7280
As
1
direct
0.0000 0.0000 0.0000
```

Uncorrected energy (eV per atom): -4.532
Space group: Pm-3m
Relative energy among the computed polymorphs (kcal/mol of atoms): 2.708

***

Record 7
Density functional theory data (PBE-GGA) for a relaxed As crystal.

Structure (POSCAR):
```
As
1.0
-3.7234 3.7234 3.7234
3.7234 -3.7234 3.7234
3.7234 3.7234 -3.7234
As
6
direct
0.2500 0.5000 0.7500
0.2500 0.7500 0.5000
0.5000 0.2500 0.7500
0.5000 0.7500 0.2500
0.7500 0.2500 0.5000
0.7500 0.5000 0.2500
```

Uncorrected energy (eV per atom): -4.293
Space group: Im-3m
Relative energy among the computed polymorphs (kcal/mol of atoms): 8.226

***

Record 8
Density functional theory data (PBE-GGA) for a relaxed As crystal.

Structure (POSCAR):
```
As
1.0
3.6190 0.0000 0.0000
-1.8095 3.1341 0.0000
0.0000 0.0000 5.1890
As
2
direct
0.3333 0.6667 0.1345
0.6667 0.3333 0.8655
```

Uncorrected energy (eV per atom): -4.650
Space group: P-3m1
Relative energy among the computed polymorphs (kcal/mol of atoms): 0.000

***

Record 9
Density functional theory data (PBE-GGA) for a relaxed As crystal.

Structure (POSCAR):
```
As
1.0
-4.9044 4.9044 4.9044
4.9044 -4.9044 4.9044
4.9044 4.9044 -4.9044
As
8
direct
0.0000 0.0000 0.2597
0.0000 0.0000 0.7403
0.0000 0.2597 0.0000
0.0000 0.7403 0.0000
0.2597 0.0000 0.0000
0.2597 0.2597 0.2597
0.7403 0.0000 0.0000
0.7403 0.7403 0.7403
```

Uncorrected energy (eV per atom): -4.319
Space group: Im-3m
Relative energy among the computed polymorphs (kcal/mol of atoms): 7.634

***

Record 10
Density functional theory data (PBE-GGA) for a relaxed As crystal.

Structure (POSCAR):
```
As
1.0
4.2413 0.0000 0.0000
0.0000 3.7882 0.0000
-0.0213 0.0000 5.8578
As
4
direct
0.1971 0.2500 0.0352
0.1972 0.2500 0.4656
0.8028 0.7500 0.5344
0.8029 0.7500 0.9648
```

Uncorrected energy (eV per atom): -4.620
Space group: P2_1/m
Relative energy among the computed polymorphs (kcal/mol of atoms): 0.690

***

Record 11
Density functional theory data (PBE-GGA) for a relaxed As crystal.

Structure (POSCAR):
```
As
1.0
1.8580 -5.7020 0.0000
1.8580 5.7020 0.0000
0.0000 0.0000 4.6798
As
4
direct
0.1061 0.8939 0.9312
0.3939 0.6061 0.4312
0.6061 0.3939 0.5688
0.8939 0.1061 0.0688
```

Uncorrected energy (eV per atom): -4.632
Space group: Cmce
Relative energy among the computed polymorphs (kcal/mol of atoms): 0.395

***

Record 12
Density functional theory data (PBE-GGA) for a relaxed As crystal.

Structure (POSCAR):
```
As
1.0
4.6143 0.0000 0.0000
-2.3071 3.9961 0.0000
0.0000 0.0000 5.8643
As
4
direct
0.3333 0.6667 0.0366
0.3333 0.6667 0.4634
0.6667 0.3333 0.5366
0.6667 0.3333 0.9634
```

Uncorrected energy (eV per atom): -4.498
Space group: P6_3/mmc
Relative energy among the computed polymorphs (kcal/mol of atoms): 3.486